1.
A plane-wave DFT calculation with meta-GGA SCAN was carried out for a crystal of RbCaInSb2 relaxed with PBEsol.

a b c (Å): 5.9720 5.9720 5.6566
angles (deg): 90.00 90.00 90.00
Last column: nearest neighbours and their distance in Å.
Sites, in units of the cell vectors:
Rb  0.0000  0.0000  0.0000  2 In 2.83, 4 Sb 2.99
Ca  0.5000  0.5000  0.5000  8 Sb 4.11, 4 In 4.22
In  0.0000  0.0000  0.5000  2 Rb 2.83
Sb  0.0000  0.5000  0.0000  2 Rb 2.99
Sb  0.5000  0.0000  0.0000  2 Rb 2.99

Results
crystal system	tetragonal
space-group type	P4/mmm
N(E_F)	0.538	states/eV per atom
formation energy from raw total energies	720	meV/atom

2.
A plane-wave DFT calculation with meta-GGA SCAN was carried out for a crystal of CaInRe2 relaxed with PBEsol.

a b c (Å): 3.9408 3.9408 4.5760
angles (deg): 90.00 90.00 90.00
Last column: nearest neighbours and their distance in Å.
Sites, in units of the cell vectors:
Ca  0.0000  0.0000  0.0000  4 In 2.79, 8 Re 3.02
In  0.5000  0.5000  0.0000  4 Ca 2.79, 8 Re 3.02
Re  0.0000  0.5000  0.5000  4 Re 2.79, 4 In 3.02, 4 Ca 3.02
Re  0.5000  0.0000  0.5000  4 Re 2.79, 4 In 3.02, 4 Ca 3.02

Results
crystal system	tetragonal
E_form	0.72	eV per atom
space-group type	P4/mmm
N(E_F)	0.795	states/eV per atom